<a>
10
Lattice="-1.048 -1.264 4.039 -0.234 -4.138 -1.355 11.438 -1.468 2.508" Properties=species:S:1:pos:R:3 comment="Sr2Ga3Au5 (PBE, relaxed)" crystal_system=tetragonal space_group="P-4m2 (115)" dos_at_fermi_per_ev_atom=0.215 pbc="T T T"
Sr 2.296 -0.994 2.638
Sr 8.501 -3.175 1.212
Ga 6.657 -1.553 3.594
Ga 4.141 -2.615 0.256
Ga 5.719 -0.734 1.254
Au -0.641 -2.701 1.342
Au 0.000 0.000 0.000
Au 9.114 -1.869 4.132
Au 1.684 -2.300 -0.283
Au 5.078 -3.435 2.596



<b>
20
Lattice="-1.286 6.288 -0.522 -8.665 1.353 -2.072 -4.003 3.097 7.455" Properties=species:S:1:pos:R:3 comment="Sr2Ga3Au5 (PBE, relaxed)" crystal_system=orthorhombic space_group="Ibam (72)" dos_at_fermi_per_ev_atom=0.393 pbc="T T T"
Sr -5.896 2.064 -0.328
Sr -4.360 6.023 3.865
Sr -8.058 8.674 5.189
Sr -9.594 4.715 0.996
Ga -8.018 5.307 4.247
Ga -9.657 8.078 1.951
Ga -5.935 5.431 0.614
Ga -4.297 2.660 2.911
Ga -0.321 1.572 -0.130
Ga -0.964 4.716 -0.391
Au -6.525 5.780 6.270
Au -10.348 7.734 -0.489
Au -7.428 4.958 -1.409
Au -3.606 3.004 5.350
Au -10.362 6.446 3.889
Au -3.592 4.292 0.972
Au -7.298 6.941 2.300
Au -6.655 3.797 2.561
Au -2.949 1.148 1.233
Au -11.005 9.590 3.628



Which is most stable, and by how much? <b>, by 0.067 eV/atom.



<a>
5
Lattice="5.849 0.000 0.000 0.000 5.849 0.000 0.000 0.000 5.849" Properties=species:S:1:pos:R:3 comment="SrGaAu3 (PBE, relaxed)" crystal_system=cubic space_group="Pm-3m (221)" dos_at_fermi_per_ev_atom=0.000 pbc="T T T"
Sr 0.000 0.000 0.000
Au 0.000 2.925 0.000
Au 0.000 0.000 2.925
Au 2.925 0.000 0.000
Ga 2.925 2.925 2.925



<b>
5
Lattice="-4.707 -0.176 -1.670 0.416 -4.937 -0.653 -1.627 -0.754 4.665" Properties=species:S:1:pos:R:3 comment="SrGaAu3 (PBE, relaxed)" crystal_system=cubic space_group="Pm-3m (221)" dos_at_fermi_per_ev_atom=0.341 pbc="T T T"
Sr -2.959 -2.934 1.171
Au 0.208 -2.469 -0.327
Au -0.813 -0.377 2.332
Au -2.354 -0.088 -0.835
Ga 0.000 0.000 0.000



Which is most stable, and by how much? <b>, by 0.831 eV/atom.



<a>
11
Lattice="-5.490 2.356 -3.390 1.770 -6.568 -0.951 -0.479 -0.623 6.824" Properties=species:S:1:pos:R:3 comment="SrGa4Au6 (PBE, relaxed)" crystal_system=tetragonal space_group="I-42m (121)" dos_at_fermi_per_ev_atom=0.365 pbc="T T T"
Sr 0.000 0.000 0.000
Ga -0.016 -1.224 3.524
Ga -2.696 -1.928 0.694
Ga 0.883 -3.600 0.416
Ga -1.078 -5.275 3.722
Au 1.162 -5.401 2.359
Au 0.431 -3.469 4.885
Au -3.421 0.002 -0.991
Au -2.985 0.866 1.717
Au -1.079 -3.159 2.104
Au -1.860 -2.106 -2.170



<b>
11
Lattice="4.425 0.000 0.000 0.000 6.493 -3.748 0.000 0.000 7.497" Properties=species:S:1:pos:R:3 comment="SrGa4Au6 (PBE, relaxed)" crystal_system=hexagonal space_group="P-6 (174)" dos_at_fermi_per_ev_atom=0.315 pbc="T T T"
Sr 0.000 2.164 3.748
Ga 2.212 3.495 1.502
Ga 2.212 6.046 -0.029
Ga 0.000 0.000 0.000
Ga 2.212 3.444 -1.473
Au 2.212 0.862 5.962
Au 2.212 0.898 1.514
Au 0.000 5.207 1.451
Au 0.000 2.632 0.036
Au 0.000 5.146 -1.487
Au 2.212 4.733 3.769



Which is most stable, and by how much? <b>, by 0.059 eV/atom.



<a>
14
Lattice="-6.428 -3.052 -0.475 1.477 -2.074 -6.662 2.713 -6.103 2.502" Properties=species:S:1:pos:R:3 comment="SrGa3Au3 (PBE, relaxed)" crystal_system=cubic space_group="Pm-3n (223)" dos_at_fermi_per_ev_atom=0.579 pbc="T T T"
Sr -1.119 -5.615 -2.318
Sr 0.000 0.000 0.000
Au -0.251 -3.815 1.132
Au 1.417 -2.563 -2.706
Au -2.106 -3.082 -5.234
Au -3.465 -5.341 0.894
Au 2.773 -5.614 -1.455
Au -2.845 -2.045 -1.903
Ga 1.726 -3.570 -0.415
Ga 2.464 -4.607 -3.746
Ga -1.180 -6.103 1.639
Ga -4.083 -3.326 -3.687
Ga -2.536 -3.052 0.388
Ga -0.869 -1.800 -3.450



<b>
14
Lattice="4.664 0.000 0.000 0.000 7.512 -5.206 0.000 -0.343 9.954" Properties=species:S:1:pos:R:3 comment="SrGa3Au3 (PBE, relaxed)" crystal_system=monoclinic space_group="P2_1/m (11)" dos_at_fermi_per_ev_atom=0.483 pbc="T T T"
Sr 3.498 2.565 4.662
Sr 1.166 4.604 0.087
Ga 3.498 4.949 -2.662
Ga 3.498 2.348 1.234
Ga 3.498 0.084 7.030
Ga 1.166 2.220 7.411
Ga 1.166 4.821 3.514
Ga 1.166 7.085 -2.282
Au 3.498 6.797 -0.891
Au 3.498 2.585 -1.326
Au 3.498 5.099 2.455
Au 1.166 0.372 5.639
Au 1.166 4.584 6.074
Au 1.166 2.070 2.293



Which is most stable, and by how much? <b>, by 0.091 eV/atom.